No. 1
Entry from the Alexandria database: crystalline TbNd4In2 at its relaxed geometry (PBE).

Properties
Crystal system: monoclinic
M_tot (μB/atom): 0.000
Electronic total energy (eV per atom): -4.346

```
data_TbNd4In2
_chemical_formula_sum 'Tb2 Nd8 In4'
_space_group_name_H-M_alt 'P 1 21/c 1'
_space_group_IT_number 14
_space_group_name_Hall '-P 2ybc'
_cell_length_a 6.5228
_cell_length_b 12.4093
_cell_length_c 5.6376
_cell_angle_alpha 90.00
_cell_angle_beta 90.01
_cell_angle_gamma 90.00
loop_
_atom_site_label
_atom_site_fract_x
_atom_site_fract_y
_atom_site_fract_z
Tb1 0.0000 0.0000 0.0000
Nd1 0.1399 0.1645 0.4993
Nd2 0.4823 0.6483 0.5012
In1 0.3182 0.5737 0.0011
```

=====

No. 2
Entry from the Alexandria database: crystalline La7Pr12Sc at its relaxed geometry (PBE).

Properties
Crystal system: cubic
M_tot (μB/atom): 0.000
Electronic total energy (eV per atom): -4.330

```
data_La7Pr12Sc
_chemical_formula_sum 'La14 Pr24 Sc2'
_space_group_name_H-M_alt 'I m -3'
_space_group_IT_number 204
_space_group_name_Hall '-I 2 2 3'
_cell_length_a 11.5103
_cell_length_b 11.5103
_cell_length_c 11.5103
_cell_angle_alpha 90.00
_cell_angle_beta 90.00
_cell_angle_gamma 90.00
loop_
_atom_site_label
_atom_site_fract_x
_atom_site_fract_y
_atom_site_fract_z
La1 0.0000 0.0000 0.5000
La2 0.2500 0.2500 0.2500
Pr1 0.0000 0.2732 0.2005
Sc1 0.0000 0.0000 0.0000
```

=====

No. 3
Entry from the Alexandria database: crystalline CoBrN2 at its relaxed geometry (PBE).

Properties
Crystal system: cubic
M_tot (μB/atom): 0.398
ΔE_f (raw) (kJ/mol of atoms): 223.7

```
data_CoBrN2
_chemical_formula_sum 'Co4 Br4 N8'
_space_group_name_H-M_alt 'F m -3 m'
_space_group_IT_number 225
_space_group_name_Hall '-F 4 2 3'
_cell_length_a 5.5256
_cell_length_b 5.5256
_cell_length_c 5.5256
_cell_angle_alpha 90.00
_cell_angle_beta 90.00
_cell_angle_gamma 90.00
loop_
_atom_site_label
_atom_site_fract_x
_atom_site_fract_y
_atom_site_fract_z
Co1 0.0000 0.0000 0.0000
Br1 0.0000 0.0000 0.5000
N1 0.2500 0.2500 0.2500
```

=====

No. 4
Entry from the Alexandria database: crystalline IrOs2Pb at its relaxed geometry (PBE).

Properties
Crystal system: monoclinic
M_tot (μB/atom): 0.000
Electronic total energy (eV per atom): -8.120

```
data_IrOs2Pb
_chemical_formula_sum 'Ir1 Os2 Pb1'
_space_group_name_H-M_alt 'P 1 m 1'
_space_group_IT_number 6
_space_group_name_Hall 'P -2y'
_cell_length_a 2.8234
_cell_length_b 3.6152
_cell_length_c 7.1623
_cell_angle_alpha 90.00
_cell_angle_beta 99.74
_cell_angle_gamma 90.00
loop_
_atom_site_label
_atom_site_fract_x
_atom_site_fract_y
_atom_site_fract_z
Ir1 0.0000 0.0000 0.0000
Os1 0.1828 0.0000 0.3843
Os2 0.5981 0.5000 0.2053
Pb1 0.5491 0.5000 0.7049
```